# 1
First-principles (PBE-GGA) data for an optimized crystal structure of Nd2RuRhO8, as listed in Alexandria via LeMat-Bulk.

Cell: 5.865 4.326 6.334 Å, 91.31 86.30 101.89°
Positions (direct):
O (0.697, 0.738, 0.966)
O (0.339, 0.224, 0.440)
O (0.140, 0.819, 0.748)
O (0.860, 0.181, 0.252)
O (0.057, 0.743, 0.240)
O (0.943, 0.257, 0.760)
O (0.661, 0.776, 0.560)
O (0.303, 0.262, 0.034)
Ru (0.000, 0.000, 0.000)
Rh (0.000, 0.000, 0.500)
Nd (0.550, 0.273, 0.736)
Nd (0.450, 0.727, 0.264)

Results
symmetry	P-1
uncorrected energy	-0.2658	hartree per atom
formation energy (no corrections)	-21.0	eV per formula unit
V	13.08	Å³ per atom

---

# 2
First-principles (PBE-GGA) data for an optimized crystal structure of Nd2ScRhO6, as listed in Alexandria via LeMat-Bulk.

Cell: 5.537 5.827 7.953 Å, 90.00 90.96 90.00°
Positions (direct):
Nd (0.519, 0.564, 0.749)
Nd (0.981, 0.064, 0.751)
Nd (0.481, 0.436, 0.251)
Nd (0.019, 0.936, 0.249)
O (0.195, 0.200, 0.053)
O (0.198, 0.202, 0.445)
O (0.893, 0.537, 0.248)
O (0.802, 0.798, 0.555)
O (0.607, 0.037, 0.252)
O (0.302, 0.702, 0.055)
O (0.805, 0.800, 0.947)
O (0.698, 0.298, 0.945)
O (0.393, 0.963, 0.748)
O (0.107, 0.463, 0.752)
O (0.695, 0.300, 0.553)
O (0.305, 0.700, 0.447)
Sc (0.500, 0.000, 0.000)
Sc (0.000, 0.500, 0.500)
Rh (0.500, 0.000, 0.500)
Rh (0.000, 0.500, 0.000)

Results
symmetry	P2_1/c
uncorrected energy	-0.2965	hartree per atom
formation energy (no corrections)	-27.7	eV per formula unit
V	12.83	Å³ per atom

---

# 3
First-principles (PBE-GGA) data for an optimized crystal structure of SrNdRhO4, as listed in Alexandria via LeMat-Bulk.

Cell: 3.977 3.977 6.814 Å, 106.97 106.97 90.00°
Positions (direct):
O (0.484, 0.984, 0.969)
O (0.984, 0.484, 0.969)
O (0.178, 0.178, 0.356)
O (0.837, 0.837, 0.675)
Nd (0.363, 0.363, 0.726)
Sr (0.645, 0.645, 0.290)
Rh (0.008, 0.008, 0.017)

Results
symmetry	I4mm
uncorrected energy	-0.2578	hartree per atom
formation energy (no corrections)	-15.5	eV per formula unit
V	14.02	Å³ per atom

---

- Which value of formation energy (no corrections) does entry 3 give?
  -15.5 eV per formula unit